18
Lattice="6.0987 0.0000 -0.1611 0.0000 6.0911 0.0000 0.2234 0.0000 8.4423" Properties=species:S:1:pos:R:3 comment="PBE Ti6BPb2, optimized geometry" total_energy_ev_per_atom=-7.03 dos_ef_per_ev_fu=13.691 de_polymorph_ev_per_fu=0.00 e_form_mev_per_atom=-198.1 pbc="T T T"
Pb 6.2655 3.0454 6.1565
Pb 3.1044 0.0001 2.0159
Pb 0.0566 3.0457 2.1247
Pb 3.2177 6.0910 6.2653
Ti 3.1087 3.0456 2.1377
Ti 0.1711 6.0911 6.4394
Ti 4.6218 1.4928 -0.1215
Ti 1.6850 4.5391 4.1796
Ti 1.6842 1.5528 4.1802
Ti 4.6379 4.5383 4.1010
Ti 6.1510 0.0000 1.8418
Ti 1.6995 1.4936 8.4033
Ti 4.6226 4.5975 -0.1221
Ti 3.2134 3.0455 6.1435
Ti 4.6371 1.5520 4.1016
Ti 1.7003 4.5983 8.4027
B 3.0493 3.0455 -0.0805
B 0.1117 0.0000 4.2212